Computed, not measured: a relaxed structure of CrHgRu2 at the PBE level of DFT.

```
4
Lattice="2.804 -3.820 0.000 2.804 3.820 0.000 0.000 0.000 2.900" Properties=species:S:1:pos:R:3 pbc="T T T"
Cr 0.000 0.000 0.000
Hg 2.804 0.000 0.000
Ru 1.402 1.910 1.450
Ru 1.402 -1.910 1.450
```

Results
SG: Cmmm, No. 65
ρ, Mg/m³: 12.151
N(E_F), states/eV/f.u.: 5.68
Spin magnetization, μB/cell: 1.16
Total energy, eV per atom: -6.546